Entry 1:
DFT (PBE+U) results for a relaxed Ga2FeSnO6 crystal.

POSCAR file:
```
Ga2FeSnO6
1.0
5.206 0.000 0.000
-2.585 4.553 0.000
-0.066 -2.973 4.668
Ga Fe Sn O
2 1 1 6
Direct
0.000 0.000 0.000 Ga
0.500 0.000 0.496 Ga
0.782 0.566 0.354 Fe
0.289 0.576 0.866 Sn
0.114 0.811 0.179 O
0.206 0.802 0.678 O
0.369 0.470 0.178 O
0.598 0.473 0.686 O
0.702 0.065 0.178 O
0.880 0.089 0.688 O
```

Results
The final energy is -6.2019 eV per atom. The symmetry is No. 1.

Entry 2:
DFT (PBE+U) results for a relaxed GaFeSnO4 crystal.

POSCAR file:
```
GaFeSnO4
1.0
-3.125 3.177 4.436
3.125 -3.177 4.436
3.125 3.177 -4.436
Ga Fe Sn O
2 2 2 8
Direct
0.381 0.131 0.250 Ga
0.619 0.869 0.750 Ga
0.000 0.000 0.500 Fe
0.000 0.500 0.000 Fe
0.000 0.500 0.500 Sn
0.500 0.500 0.000 Sn
0.246 0.250 0.996 O
0.246 0.750 0.496 O
0.250 0.249 0.499 O
0.250 0.751 0.001 O
0.750 0.249 0.999 O
0.750 0.751 0.501 O
0.754 0.250 0.504 O
0.754 0.750 0.004 O
```

Results
The final energy is -6.0952 eV per atom. The symmetry is No. 74.

Entry 3:
DFT (PBE+U) results for a relaxed SrGaFeO4 crystal.

POSCAR file:
```
SrGaFeO4
1.0
-2.810 2.810 3.250
2.810 -2.810 3.250
2.810 2.810 -3.250
Sr Ga Fe O
1 1 1 4
Direct
0.000 0.000 0.000 Sr
0.500 0.500 0.000 Ga
0.750 0.250 0.500 Fe
0.108 0.483 0.937 O
0.517 0.454 0.624 O
0.546 0.170 0.063 O
0.830 0.892 0.376 O
```

Results
The final energy is -6.1980 eV per atom. The symmetry is No. 82.

Entry 4:
DFT (PBE+U) results for a relaxed Sr3GaFe2O9 crystal.

POSCAR file:
```
Sr3GaFe2O9
1.0
5.547 0.000 0.000
-2.774 4.804 0.000
0.000 0.000 6.786
Sr Ga Fe O
3 1 2 9
Direct
0.000 0.000 0.000 Sr
0.333 0.667 0.666 Sr
0.667 0.333 0.334 Sr
0.000 0.000 0.500 Ga
0.333 0.667 0.168 Fe
0.667 0.333 0.832 Fe
0.000 0.500 0.000 O
0.168 0.335 0.331 O
0.168 0.832 0.331 O
0.335 0.168 0.669 O
0.500 0.000 0.000 O
0.500 0.500 0.000 O
0.665 0.832 0.331 O
0.832 0.168 0.669 O
0.832 0.665 0.669 O
```

Results
The final energy is -6.2016 eV per atom. The symmetry is No. 164.

Entry 5:
DFT (PBE+U) results for a relaxed Sr2GaFe2O6 crystal.

POSCAR file:
```
Sr2GaFe2O6
1.0
2.939 1.697 5.274
-2.939 1.697 5.274
0.000 -3.394 5.274
Sr Ga Fe O
2 1 2 6
Direct
0.209 0.209 0.209 Sr
0.791 0.791 0.791 Sr
0.000 0.000 0.000 Ga
0.420 0.420 0.420 Fe
0.580 0.580 0.580 Fe
0.224 0.766 0.766 O
0.234 0.234 0.776 O
0.234 0.776 0.234 O
0.766 0.224 0.766 O
0.766 0.766 0.224 O
0.776 0.234 0.234 O
```

Results
The final energy is -6.1706 eV per atom. The symmetry is No. 166.

Entry 6:
DFT (PBE+U) results for a relaxed Sr2GaFeO5 crystal.

POSCAR file:
```
Sr2GaFeO5
1.0
1.634 -7.173 0.000
1.634 7.173 0.000
0.000 0.000 10.472
Sr Ga Fe O
4 2 2 10
Direct
0.109 0.891 0.500 Sr
0.135 0.865 0.132 Sr
0.865 0.135 0.632 Sr
0.891 0.109 0.000 Sr
0.443 0.557 0.271 Ga
0.557 0.443 0.771 Ga
0.220 0.780 0.848 Fe
0.780 0.220 0.348 Fe
0.053 0.947 0.863 O
0.285 0.715 0.472 O
0.314 0.686 0.218 O
0.351 0.649 0.824 O
0.500 0.500 0.114 O
0.500 0.500 0.614 O
0.649 0.351 0.324 O
0.686 0.314 0.718 O
0.715 0.285 0.972 O
0.947 0.053 0.363 O
```

Results
The final energy is -6.2785 eV per atom. The symmetry is No. 36.

Entry 7:
DFT (PBE+U) results for a relaxed TbGaFeO4 crystal.

POSCAR file:
```
TbGaFeO4
1.0
-3.100 3.258 4.404
3.100 -3.258 4.404
3.100 3.258 -4.404
Tb Ga Fe O
2 2 2 8
Direct
0.000 0.000 0.000 Tb
0.500 0.000 0.500 Tb
0.373 0.623 0.750 Ga
0.627 0.377 0.250 Ga
0.000 0.000 0.500 Fe
0.000 0.500 0.000 Fe
0.242 0.741 0.501 O
0.245 0.249 0.504 O
0.245 0.742 0.996 O
0.260 0.259 0.001 O
0.740 0.741 0.999 O
0.755 0.258 0.004 O
0.755 0.751 0.496 O
0.758 0.259 0.499 O
```

Results
The final energy is -6.9862 eV per atom. The symmetry is No. 74.

Entry 8:
DFT (PBE+U) results for a relaxed GaFeTe2O6 crystal.

POSCAR file:
```
GaFeTe2O6
1.0
6.477 -4.424 0.000
6.477 4.424 0.000
-1.863 0.000 5.238
Ga Fe Te O
2 2 4 12
Direct
0.222 0.778 0.750 Ga
0.778 0.222 0.250 Ga
0.117 0.883 0.250 Fe
0.883 0.117 0.750 Fe
0.116 0.415 0.276 Te
0.415 0.116 0.776 Te
0.585 0.884 0.224 Te
0.884 0.585 0.724 Te
0.006 0.177 0.149 O
0.177 0.006 0.649 O
0.220 0.638 0.421 O
0.262 0.330 0.977 O
0.330 0.262 0.477 O
0.362 0.780 0.079 O
0.638 0.220 0.921 O
0.670 0.738 0.523 O
0.738 0.670 0.023 O
0.780 0.362 0.579 O
0.823 0.994 0.351 O
0.994 0.823 0.851 O
```

Results
The final energy is -5.5837 eV per atom. The symmetry is No. 15.

Entry 9:
DFT (PBE+U) results for a relaxed GaFeTeO6 crystal.

POSCAR file:
```
GaFeTeO6
1.0
5.067 0.000 0.000
-2.534 4.388 0.000
0.000 0.000 8.887
Ga Fe Te O
2 2 2 12
Direct
0.333 0.667 0.250 Ga
0.667 0.333 0.750 Ga
0.000 0.000 0.000 Fe
0.000 0.000 0.500 Fe
0.333 0.667 0.750 Te
0.667 0.333 0.250 Te
0.007 0.347 0.630 O
0.007 0.660 0.870 O
0.340 0.347 0.870 O
0.340 0.993 0.630 O
0.347 0.007 0.130 O
0.347 0.340 0.370 O
0.653 0.660 0.630 O
0.653 0.993 0.870 O
0.660 0.007 0.370 O
0.660 0.653 0.130 O
0.993 0.340 0.130 O
0.993 0.653 0.370 O
```

Results
The final energy is -5.9319 eV per atom. The symmetry is No. 163.

Entry 10:
DFT (PBE+U) results for a relaxed Ga2FeTeO6 crystal.

POSCAR file:
```
Ga2FeTeO6
1.0
5.206 -4.425 0.000
5.206 4.425 0.000
-1.268 0.000 5.494
Ga Fe Te O
4 2 2 12
Direct
0.112 0.305 0.261 Ga
0.305 0.112 0.761 Ga
0.695 0.888 0.239 Ga
0.888 0.695 0.739 Ga
0.405 0.595 0.750 Fe
0.595 0.405 0.250 Fe
0.219 0.781 0.250 Te
0.781 0.219 0.750 Te
0.094 0.226 0.553 O
0.145 0.618 0.900 O
0.226 0.094 0.053 O
0.288 0.507 0.354 O
0.382 0.855 0.600 O
0.493 0.712 0.146 O
0.507 0.288 0.854 O
0.618 0.145 0.400 O
0.712 0.493 0.646 O
0.774 0.906 0.947 O
0.855 0.382 0.100 O
0.906 0.774 0.447 O
```

Results
The final energy is -5.9751 eV per atom. The symmetry is No. 15.

Entry 11:
DFT (PBE+U) results for a relaxed ThGaFe2O6 crystal.

POSCAR file:
```
ThGaFe2O6
1.0
5.611 -3.026 0.000
5.611 3.026 0.000
-0.966 0.000 3.829
Th Ga Fe O
1 1 2 6
Direct
0.000 0.000 0.000 Th
0.500 0.500 0.500 Ga
0.250 0.250 0.571 Fe
0.750 0.750 0.429 Fe
0.174 0.616 0.606 O
0.203 0.203 0.017 O
0.384 0.826 0.394 O
0.616 0.174 0.606 O
0.797 0.797 0.983 O
0.826 0.384 0.394 O
```

Results
The final energy is -7.0425 eV per atom. The symmetry is No. 12.

Entry 12:
DFT (PBE+U) results for a relaxed TiGaFe2O6 crystal.

POSCAR file:
```
TiGaFe2O6
1.0
2.550 1.472 4.601
-2.550 1.472 4.601
0.000 -2.944 4.601
Ti Ga Fe O
1 1 2 6
Direct
0.000 0.000 0.000 Ti
0.499 0.499 0.499 Ga
0.288 0.288 0.288 Fe
0.795 0.795 0.795 Fe
0.100 0.708 0.370 O
0.206 0.591 0.886 O
0.370 0.100 0.708 O
0.591 0.886 0.206 O
0.708 0.370 0.100 O
0.886 0.206 0.591 O
```

Results
The final energy is -7.0291 eV per atom. The symmetry is No. 146.

> Which of these has the lowest final energy?

ThGaFe2O6

> Which of these has the lowest final energy?

ThGaFe2O6